First-principles (PBE-GGA) data for an optimized crystal structure of NaCu3Se4O12, as listed in the Alexandria database.

Results
Total DFT energy (no corrections), eV per atom: -4.7865
Formation energy without anion corrections, eV per formula unit: -8.69
Space group: R32, No. 155

POSCAR file:
```
NaCu3Se4O12
1.0
5.550 3.204 2.613
-5.550 3.204 2.613
0.000 -6.409 2.613
Na Cu Se O
1 3 4 12
Direct
0.000 0.000 0.000 Na
0.000 0.567 0.433 Cu
0.433 0.000 0.567 Cu
0.567 0.433 0.000 Cu
0.058 0.500 0.942 Se
0.500 0.500 0.500 Se
0.500 0.942 0.058 Se
0.942 0.058 0.500 Se
0.055 0.638 0.764 O
0.106 0.894 0.500 O
0.236 0.362 0.945 O
0.338 0.662 0.500 O
0.362 0.945 0.236 O
0.500 0.106 0.894 O
0.500 0.338 0.662 O
0.638 0.764 0.055 O
0.662 0.500 0.338 O
0.764 0.055 0.638 O
0.894 0.500 0.106 O
0.945 0.236 0.362 O
```